1.
First-principles (PBE) data for a geometry-optimized Dy4ZnSn3 structure, as listed in Alexandria.

Lattice parameters (Å, degrees): 4.422 4.291 11.322 90.00 90.00 90.00
Element x y z (fractional)
Dy  0.000  0.500  0.867
Dy  0.500  0.500  0.356
Dy  0.000  0.000  0.135
Dy  0.500  0.000  0.638
Sn  0.000  0.000  0.408
Sn  0.000  0.500  0.593
Sn  0.500  0.000  0.921
Zn  0.500  0.500  0.082

## Properties
Symmetry: Pmm2 (25)

2.
First-principles (PBE) data for a geometry-optimized La2Sm2Er5 structure, as listed in Alexandria.

Lattice parameters (Å, degrees): 3.498 8.344 12.528 120.51 98.02 90.00
Element x y z (fractional)
Er  0.309  0.149  0.619
Er  0.098  0.462  0.197
Er  0.691  0.851  0.381
Er  0.000  0.000  0.000
Er  0.902  0.538  0.803
Sm  0.455  0.265  0.909
Sm  0.545  0.735  0.091
La  0.817  0.778  0.635
La  0.183  0.222  0.365

## Properties
Symmetry: C2/m (12)
Energy above the most stable polymorph in this dataset in eV per formula unit: 0.17

3.
First-principles (PBE) data for a geometry-optimized Tm3Ni2Ir structure, as listed in Alexandria.

Lattice parameters (Å, degrees): 4.741 4.741 11.602 90.00 90.00 120.00
Element x y z (fractional)
Ni  0.000  0.000  0.500
Ni  0.000  0.000  0.000
Ni  0.667  0.333  0.835
Ni  0.333  0.667  0.165
Tm  0.333  0.667  0.917
Tm  0.000  0.000  0.248
Tm  0.667  0.333  0.083
Tm  0.333  0.667  0.416
Tm  0.667  0.333  0.584
Tm  0.000  0.000  0.752
Ir  0.667  0.333  0.333
Ir  0.333  0.667  0.667

## Properties
Symmetry: P-3m1 (164)

| no. | E_form (eV/atom) |
| --- | --- |
| 1 | -0.626 |
| 2 | 0.220 |
| 3 | -0.639 |